Compound: K5Na3Nb8O24
Source: the Alexandria database
Functional: GGA-PBEsol
Structure: optimized geometry

Cell and atoms, written as POSCAR:
```
K5Na3Nb8O24
1.0
8.007 0.000 0.000
0.000 8.007 0.000
0.000 0.000 8.004
K Na Nb O
5 3 8 24
Direct
0.000 0.000 0.000
0.000 0.000 0.500
0.000 0.500 0.000
0.500 0.000 0.000
0.500 0.500 0.000
0.000 0.500 0.500
0.500 0.000 0.500
0.500 0.500 0.500
0.251 0.251 0.252
0.251 0.251 0.748
0.251 0.749 0.252
0.251 0.749 0.748
0.749 0.251 0.252
0.749 0.251 0.748
0.749 0.749 0.252
0.749 0.749 0.748
0.000 0.252 0.253
0.000 0.252 0.747
0.000 0.748 0.253
0.000 0.748 0.747
0.251 0.251 0.000
0.251 0.500 0.254
0.251 0.500 0.746
0.251 0.749 0.000
0.252 0.000 0.253
0.252 0.000 0.747
0.252 0.252 0.500
0.252 0.748 0.500
0.500 0.251 0.254
0.500 0.251 0.746
0.500 0.749 0.254
0.500 0.749 0.746
0.748 0.000 0.253
0.748 0.000 0.747
0.748 0.252 0.500
0.748 0.748 0.500
0.749 0.251 0.000
0.749 0.500 0.254
0.749 0.500 0.746
0.749 0.749 0.000
```

Summary:
uncorrected formation energy	-2431	meV/atom

Compound: BiRu3C
Source: the Alexandria database
Functional: GGA-PBEsol
Structure: optimized geometry

Cell and atoms, written as POSCAR:
```
BiRu3C
1.0
4.924 0.000 0.000
0.000 4.924 0.000
0.000 0.000 4.924
Bi Ru C
1 3 1
Direct
0.000 0.000 0.000
0.000 0.000 0.500
0.000 0.500 0.000
0.500 0.000 0.000
0.500 0.500 0.500
```

Summary:
formation energy	84.50	kcal/mol of atoms
DOS at the Fermi energy	7.4	states/eV per cell

Compound: MgHPt2
Source: the Alexandria database
Functional: GGA-PBEsol
Structure: optimized geometry

Cell and atoms, written as POSCAR:
```
MgHPt2
1.0
5.886 0.000 0.000
0.000 5.886 0.000
0.000 0.000 5.886
Mg H Pt
4 4 8
Direct
0.000 0.000 0.000
0.000 0.500 0.500
0.500 0.000 0.500
0.500 0.500 0.000
0.000 0.000 0.500
0.000 0.500 0.000
0.500 0.000 0.000
0.500 0.500 0.500
0.250 0.250 0.250
0.250 0.250 0.750
0.250 0.750 0.250
0.250 0.750 0.750
0.750 0.250 0.250
0.750 0.250 0.750
0.750 0.750 0.250
0.750 0.750 0.750
```

Summary:
DOS at the Fermi energy	4.9	states/eV per cell
raw total energy	-4.63	eV per atom

Compound: Li4CuP
Source: the Alexandria database
Functional: GGA-PBEsol
Structure: optimized geometry

Cell and atoms, written as POSCAR:
```
Li4CuP
1.0
0.000 3.390 3.390
3.390 0.000 3.390
3.390 3.390 0.000
Li Cu P
4 1 1
Direct
0.124 0.124 0.124
0.124 0.124 0.627
0.124 0.627 0.124
0.627 0.124 0.124
0.500 0.500 0.500
0.750 0.750 0.750
```

Summary:
formation energy	2.00	kcal/mol of atoms
DOS at the Fermi energy	1.3	states/eV per cell

Compound: ZrScReAg2
Source: the Alexandria database
Functional: GGA-PBEsol
Structure: optimized geometry

Cell and atoms, written as POSCAR:
```
ZrScReAg2
1.0
4.993 0.000 0.000
0.000 4.993 0.000
0.000 0.000 4.616
Zr Sc Re Ag
1 1 1 2
Direct
0.000 0.000 0.000
0.500 0.500 0.000
0.500 0.500 0.500
0.000 0.500 0.500
0.500 0.000 0.500
```

Summary:
formation energy	27.38	kcal/mol of atoms
DOS at the Fermi energy	6.9	states/eV per cell

Compound: Sn2SbPt2
Source: the Alexandria database
Functional: GGA-PBEsol
Structure: optimized geometry

Cell and atoms, written as POSCAR:
```
Sn2SbPt2
1.0
4.222 0.000 0.000
0.000 4.222 0.000
0.000 0.000 11.943
Sn Sb Pt
4 2 4
Direct
0.000 0.500 0.250
0.000 0.500 0.750
0.500 0.000 0.250
0.500 0.000 0.750
0.000 0.000 0.000
0.500 0.500 0.500
0.000 0.000 0.389
0.000 0.000 0.611
0.500 0.500 0.111
0.500 0.500 0.889
```

Summary:
DOS at the Fermi energy	5.3	states/eV per cell
uncorrected formation energy	-126	meV/atom

Compound: KTlSb2
Source: the Alexandria database
Functional: GGA-PBEsol
Structure: optimized geometry

Cell and atoms, written as POSCAR:
```
KTlSb2
1.0
3.251 0.000 0.000
0.000 3.251 0.000
0.000 0.000 10.989
K Tl Sb
1 1 2
Direct
0.000 0.000 0.000
0.000 0.000 0.500
0.500 0.500 0.252
0.500 0.500 0.748
```

Summary:
excess energy over the best structure of this formula in the dataset	20	kJ/mol of formula units
DOS at the Fermi energy	1.8	states/eV per cell
uncorrected formation energy	-105	meV/atom

Compound: SrHfMg2Te
Source: the Alexandria database
Functional: GGA-PBEsol
Structure: optimized geometry

Cell and atoms, written as POSCAR:
```
SrHfMg2Te
1.0
5.535 0.000 0.000
0.000 5.535 0.000
0.000 0.000 5.979
Sr Hf Mg Te
1 1 2 1
Direct
0.000 0.000 0.000
0.000 0.000 0.500
0.000 0.500 0.500
0.500 0.000 0.500
0.500 0.500 0.000
```

Summary:
DOS at the Fermi energy	4.8	states/eV per cell
uncorrected formation energy	915	meV/atom

Compound: Rb3GdF6
Source: the Alexandria database
Functional: GGA-PBEsol
Structure: optimized geometry

Cell and atoms, written as POSCAR:
```
Rb3GdF6
1.0
0.000 4.805 4.805
4.805 0.000 4.805
4.805 4.805 0.000
Rb Gd F
3 1 6
Direct
0.000 0.000 0.000
0.250 0.250 0.250
0.750 0.750 0.750
0.500 0.500 0.500
0.272 0.272 0.728
0.272 0.728 0.272
0.272 0.728 0.728
0.728 0.272 0.272
0.728 0.272 0.728
0.728 0.728 0.272
```

Summary:
DOS at the Fermi energy	0.0	states/eV per cell
uncorrected formation energy	-3225	meV/atom

Compound: NdBS3
Source: the Alexandria database
Functional: GGA-PBEsol
Structure: optimized geometry

Cell and atoms, written as POSCAR:
```
NdBS3
1.0
7.495 0.000 0.000
0.000 5.904 0.000
0.000 0.000 8.820
Nd B S
4 4 12
Direct
0.115 0.071 0.000
0.385 0.571 0.500
0.615 0.429 0.000
0.885 0.929 0.500
0.146 0.598 0.829
0.354 0.098 0.329
0.646 0.902 0.829
0.854 0.402 0.329
0.002 0.405 0.490
0.175 0.841 0.705
0.200 0.864 0.297
0.300 0.364 0.797
0.325 0.341 0.205
0.498 0.905 0.990
0.502 0.095 0.490
0.675 0.659 0.705
0.700 0.636 0.297
0.800 0.136 0.797
0.825 0.159 0.205
0.998 0.595 0.990
```

Summary:
DOS at the Fermi energy	0.0	states/eV per cell
uncorrected formation energy	-1286	meV/atom

Compound: ZrCr2Pb
Source: the Alexandria database
Functional: GGA-PBEsol
Structure: optimized geometry

Cell and atoms, written as POSCAR:
```
ZrCr2Pb
1.0
6.614 0.000 0.000
0.000 6.614 0.000
0.000 0.000 6.614
Zr Cr Pb
4 8 4
Direct
0.000 0.000 0.000
0.000 0.500 0.500
0.500 0.000 0.500
0.500 0.500 0.000
0.000 0.000 0.500
0.000 0.500 0.000
0.250 0.250 0.250
0.250 0.750 0.750
0.500 0.000 0.000
0.500 0.500 0.500
0.750 0.250 0.750
0.750 0.750 0.250
0.250 0.250 0.750
0.250 0.750 0.250
0.750 0.250 0.250
0.750 0.750 0.750
```

Summary:
formation energy	12.62	kcal/mol of atoms
DOS at the Fermi energy	26.8	states/eV per cell

Compound: BeIn2Mo
Source: the Alexandria database
Functional: GGA-PBEsol
Structure: optimized geometry

Cell and atoms, written as POSCAR:
```
BeIn2Mo
1.0
3.017 0.000 0.000
-1.508 2.613 0.000
0.000 0.000 26.161
Be In Mo
3 6 3
Direct
0.000 0.000 0.000
0.333 0.667 0.667
0.667 0.333 0.333
0.000 0.000 0.255
0.000 0.000 0.745
0.333 0.667 0.411
0.333 0.667 0.922
0.667 0.333 0.078
0.667 0.333 0.589
0.000 0.000 0.500
0.333 0.667 0.167
0.667 0.333 0.833
```

Summary:
formation energy	11.78	kcal/mol of atoms
DOS at the Fermi energy	5.8	states/eV per cell

Compound: Sc2AgHg2
Source: the Alexandria database
Functional: GGA-PBEsol
Structure: optimized geometry

Cell and atoms, written as POSCAR:
```
Sc2AgHg2
1.0
7.481 0.000 0.000
0.000 7.481 0.000
0.000 0.000 3.708
Sc Ag Hg
4 2 4
Direct
0.164 0.336 0.000
0.336 0.836 0.000
0.664 0.164 0.000
0.836 0.664 0.000
0.000 0.000 0.500
0.500 0.500 0.500
0.137 0.637 0.500
0.363 0.137 0.500
0.637 0.863 0.500
0.863 0.363 0.500
```

Summary:
formation energy	-8.23	kcal/mol of atoms
DOS at the Fermi energy	7.8	states/eV per cell